Here is a relaxed La6Pr5Tl crystal from Alexandria. Energies are from PBE.

Cell lengths 5.1563, 10.4033, 15.7917 Å; angles 90.00, 90.00, 90.00 degrees
Closest atoms and distances in Å follow each position.
Space group Immm (No. 71)
Inequivalent atoms, fractional coordinates:
La1 0.0000 0.2421 0.1626 x8  1 Tl 3.60, 7 Pr 3.61-3.77, 4 La 3.64-3.78
La2 0.0000 0.2566 0.5000 x4  2 Tl 3.61, 4 La 3.64, 6 Pr 3.68-3.72
Pr1 0.0000 0.0000 0.3358 x4  4 Pr 3.66-3.68, 8 La 3.72
Pr2 0.0000 0.5000 0.0000 x2  4 Pr 3.66, 8 La 3.71
Pr3 0.0000 0.5000 0.3305 x4  8 La 3.61-3.77, 2 Pr 3.68, 2 Tl 3.72
Tl1 0.0000 0.0000 0.0000 x2  8 La 3.60-3.61, 4 Pr 3.72

Here is a relaxed La5Pr2Tl2 crystal from Alexandria. Energies are from PBE.

Cell lengths 17.1394, 8.7652, 8.6398 Å; angles 90.00, 90.00, 90.00 degrees
Closest atoms and distances in Å follow each position.
Space group Cmce (No. 64)
Inequivalent atoms, fractional coordinates:
La1 0.0000 0.0000 0.0000 x4  4 Pr 3.34-3.43, 2 Tl 3.39
La2 0.1486 0.1697 0.3372 x16  3 Tl 3.33-3.38, 3 Pr 3.53-3.68
Pr1 0.0000 0.1327 0.6374 x8  1 Pr 3.32, 8 La 3.34-3.68
Tl1 0.1980 0.0000 0.0000 x8  7 La 3.33-3.39

Here is a relaxed La3Pr4Tl2 crystal from Alexandria. Energies are from PBE.

Cell lengths 13.5993, 13.9474, 6.6311 Å; angles 90.00, 96.14, 90.00 degrees
Closest atoms and distances in Å follow each position.
Space group C2/c (No. 15)
Inequivalent atoms, fractional coordinates:
La1 0.0000 0.0300 0.2500 x4  4 Tl 3.30-3.53, 2 La 3.42, 2 Pr 3.47
La2 0.1105 0.4348 0.5887 x8  2 Tl 3.30-3.34, 1 La 3.60, 1 Pr 3.68
Pr1 0.1060 0.2849 0.0750 x8  2 Tl 3.28-3.40
Pr2 0.1538 0.1715 0.5792 x8  2 Tl 3.38-3.48, 3 La 3.47-3.75, 3 Pr 3.65-3.77
Tl1 0.2060 0.0721 0.0432 x8  4 Pr 3.28-3.48, 4 La 3.30-3.53

Here is a relaxed La2Pr5Tl4 crystal from Alexandria. Energies are from PBE.

Calculated values
The value obtained for the excess energy over the best structure of this formula in the dataset is 188 meV/atom.

Cell lengths 23.8164, 3.7121, 8.6723 Å; angles 90.00, 105.39, 90.00 degrees
Closest atoms and distances in Å follow each position.
Space group C2/m (No. 12)
Inequivalent atoms, fractional coordinates:
La1 0.2335 0.0000 0.3102 x4  1 Tl 3.37, 6 Pr 3.44-3.74, 4 La 3.68-3.71
Pr1 0.0000 0.0000 0.5000 x2  4 Tl 3.31, 4 Pr 3.56
Pr2 0.1239 0.5000 0.4660 x4  3 Tl 3.37-3.73, 3 La 3.44-3.74, 4 Pr 3.56-3.71
Pr3 0.1711 0.5000 0.9338 x4  3 Tl 3.41-3.44, 3 La 3.49-3.71, 2 Pr 3.71
Tl1 0.0225 0.5000 0.8263 x4  5 Tl 3.27-3.46, 3 Pr 3.31-3.41
Tl2 0.0895 0.0000 0.1292 x4  4 Tl 3.27-3.36, 1 La 3.37, 4 Pr 3.37-3.44

Here is a relaxed LaPr5Tl6 crystal from Alexandria. Energies are from PBE.

Cell lengths 5.5941, 7.8302, 8.8373 Å; angles 90.00, 108.14, 90.00 degrees
Closest atoms and distances in Å follow each position.
Space group P2/m (No. 10)
Inequivalent atoms, fractional coordinates:
La1 0.0000 0.0000 0.0000 x1  8 Tl 3.42-3.44
Pr1 0.0000 0.5000 0.0000 x1  8 Tl 3.41-3.42
Pr2 0.3329 0.0000 0.6657 x2  8 Tl 3.40-3.43
Pr3 0.3347 0.5000 0.6694 x2  8 Tl 3.39-3.41
Tl1 0.1678 0.2524 0.3357 x4  7 Pr 3.40-3.42, 1 La 3.44
Tl2 0.5000 0.2511 0.0000 x2  6 Pr 3.39-3.43, 2 La 3.42

Here is a relaxed La2Pr3Tl3 crystal from Alexandria. Energies are from PBE.

Cell lengths 4.6176, 5.1128, 21.4802 Å; angles 90.00, 90.00, 90.00 degrees
Closest atoms and distances in Å follow each position.
Space group Immm (No. 71)
Inequivalent atoms, fractional coordinates:
La1 0.0000 0.0000 0.2382 x4  2 Tl 3.35, 4 La 3.48, 2 Pr 3.63
Pr1 0.0000 0.0000 0.0000 x2  8 Tl 3.44-3.54, 4 Pr 3.60
Pr2 0.0000 0.5000 0.1179 x4  6 Tl 3.43-3.45, 2 Pr 3.60, 2 La 3.63
Tl1 0.0000 0.0000 0.5000 x2  8 Pr 3.43-3.44, 4 Tl 3.71
Tl2 0.0000 0.5000 0.3748 x4  2 La 3.35, 6 Pr 3.45-3.54, 2 Tl 3.71

Here is a relaxed La2PrTl3 crystal from Alexandria. Energies are from PBE.

Calculated values
The value obtained for the excess energy over the best structure of this formula in the dataset is 151 meV/atom.

Cell lengths 3.8543, 30.0813, 6.8845 Å; angles 90.00, 90.00, 90.00 degrees
Closest atoms and distances in Å follow each position.
Space group Cmcm (No. 63)
Inequivalent atoms, fractional coordinates:
La1 0.0000 0.0068 0.2500 x4  8 Tl 3.38-3.57, 2 La 3.47
La2 0.0000 0.1520 0.7500 x4  6 Tl 3.35-3.39
Pr1 0.0000 0.3310 0.7500 x4  4 Tl 3.27-3.30
Tl1 0.0000 0.2567 0.2500 x4  2 Pr 3.27, 2 La 3.35
Tl2 0.0000 0.4231 0.0115 x8  2 Tl 3.28-3.60, 1 Pr 3.30, 6 La 3.38-3.57

Here is a relaxed La9Pr4Tl11 crystal from Alexandria. Energies are from PBE.

Cell lengths 16.7104, 24.1411, 3.7322 Å; angles 90.00, 90.00, 90.00 degrees
Closest atoms and distances in Å follow each position.
Space group Cmmm (No. 65)
Inequivalent atoms, fractional coordinates:
La1 0.0000 0.0000 0.0000 x2  4 Pr 3.47, 4 Tl 3.47, 2 La 3.73
La2 0.1097 0.4068 0.0000 x8  8 Tl 3.42-3.45, 3 La 3.66-3.73, 1 Pr 3.71
La3 0.1132 0.2249 0.0000 x8  8 Tl 3.42-3.65, 1 Pr 3.53, 3 La 3.73-3.78
Pr1 0.1688 0.0841 0.0000 x8  6 Tl 3.36-3.50, 3 La 3.47-3.71, 2 Pr 3.73
Tl1 0.0000 0.1214 0.5000 x4  6 La 3.47-3.65, 4 Pr 3.50, 2 Tl 3.73
Tl2 0.0000 0.3141 0.5000 x4  8 La 3.42-3.44, 4 Tl 3.73-3.78
Tl3 0.0000 0.5000 0.5000 x2  8 La 3.45, 4 Tl 3.61-3.73
Tl4 0.2162 0.5000 0.5000 x4  4 Pr 3.36, 4 La 3.42, 3 Tl 3.61-3.73
Tl5 0.2264 0.3179 0.5000 x8  3 Tl 3.37-3.73, 6 La 3.43-3.48, 2 Pr 3.49

Here is a relaxed La2Pr6Tl crystal from Alexandria. Energies are from PBE.

Calculated values
The value obtained for the excess energy over the best structure of this formula in the dataset is 0 meV/atom.

Cell lengths 3.6611, 10.6533, 16.5002 Å; angles 90.00, 90.00, 90.00 degrees
Closest atoms and distances in Å follow each position.
Space group Immm (No. 71)
Inequivalent atoms, fractional coordinates:
La1 0.0000 0.0000 0.1514 x4  10 Pr 3.63-3.80, 2 La 3.66
Pr1 0.0000 0.2983 0.5000 x4  6 Pr 3.66-3.73, 2 Tl 3.67, 4 La 3.77
Pr2 0.0000 0.3386 0.1761 x8  1 Tl 3.38, 7 Pr 3.44-3.73, 1 La 3.63
Tl1 0.0000 0.5000 0.0000 x2  8 Pr 3.38-3.67, 2 Tl 3.66

Here is a relaxed La2Pr3Tl2 crystal from Alexandria. Energies are from PBE.

Calculated values
The value obtained for the excess energy over the best structure of this formula in the dataset is 0 meV/atom.

Cell lengths 5.6969, 6.7351, 6.8191 Å; angles 98.48, 114.54, 90.04 degrees
Closest atoms and distances in Å follow each position.
Space group P-1 (No. 2)
Inequivalent atoms, fractional coordinates:
La1 0.1486 0.0511 0.2945 x2  3 Tl 3.29-3.41, 1 La 3.61, 2 Pr 3.65-3.66
Pr1 0.0000 0.5000 0.0000 x1  4 Tl 3.61-3.62, 6 Pr 3.73-3.95, 4 La 3.78-3.86
Pr2 0.3219 0.6051 0.6450 x2  2 Tl 3.23-3.34, 2 Pr 3.54
Tl1 0.4242 0.1772 0.8504 x2  4 Pr 3.23-3.62, 1 Tl 3.25, 3 La 3.29-3.41

Here is a relaxed La3PrTl2 crystal from Alexandria. Energies are from PBE.

Calculated values
The value obtained for the excess energy over the best structure of this formula in the dataset is 85 meV/atom.

Cell lengths 19.2605, 5.0272, 8.8210 Å; angles 90.00, 113.80, 90.00 degrees
Closest atoms and distances in Å follow each position.
Space group C2/m (No. 12)
Inequivalent atoms, fractional coordinates:
La1 0.0644 0.0000 0.1796 x4  3 La 3.14-3.29, 2 Tl 3.25
La2 0.1211 0.5000 0.0172 x4  4 Tl 3.23-3.39, 2 La 3.29
La3 0.1986 0.5000 0.4667 x4  2 La 3.10, 2 Tl 3.23-3.26
Pr1 0.1145 0.0000 0.6767 x4  7 Tl 3.48-3.80, 4 La 3.85-3.88
Tl1 0.0147 0.5000 0.3480 x4  1 Tl 2.95, 4 La 3.23-3.26
Tl2 0.2432 0.0000 0.1350 x4  4 La 3.23-3.39, 2 Tl 3.54, 2 Pr 3.59

Here is a relaxed La2Pr2Tl crystal from Alexandria. Energies are from PBE.

Calculated values
The value obtained for the excess energy over the best structure of this formula in the dataset is 18 meV/atom.

Cell lengths 9.9019, 5.7242, 6.9152 Å; angles 90.00, 118.43, 90.00 degrees
Closest atoms and distances in Å follow each position.
Space group C2/m (No. 12)
Inequivalent atoms, fractional coordinates:
La1 0.1040 0.0000 0.3124 x4  3 Tl 3.49-3.50, 3 Pr 3.69, 1 La 3.80
Pr1 0.1806 0.5000 0.0420 x4  1 Tl 3.30, 3 Pr 3.34, 3 La 3.69
Tl1 0.0000 0.5000 0.5000 x2  2 Pr 3.30, 6 La 3.49-3.50

The evaluated energy of formation from the pure elements for the records listed, in turn: -0.0497; -0.0585; -0.1052; -0.0391; -0.3985; -0.2877; -0.2640; -0.3527; -0.0013; -0.2116; -0.2177; -0.1367 eV/atom.